! LiTiHgI6 | Alexandria | GGA-PBE | optimized geometry; values from VASP
&SYSTEM
  ibrav = 0, nat = 9, ntyp = 4
/
ATOMIC_SPECIES
Ti 47.87 Ti.upf
I 126.90 I.upf
Hg 200.59 Hg.upf
Li 6.94 Li.upf
ATOMIC_POSITIONS crystal
Ti 0.332 0.333 0.500
I 0.017 0.628 0.731
I 0.015 0.357 0.267
I 0.630 0.354 0.731
I 0.354 0.630 0.269
I 0.628 0.017 0.269
I 0.356 0.015 0.733
Hg 0.000 0.000 0.000
Li 0.667 0.667 0.500
CELL_PARAMETERS angstrom
-3.366 -5.972 2.751
1.744 -6.729 -2.506
4.928 -0.544 4.798
! Calculated total energy in eV per atom: -2.793
! DOS(E_F) in states/eV/f.u.: 3.6
! Spin magnetization in μB per formula unit: 0.00